(1)
# HoMgGa, optimized geometry, DFT PBE
# E ... -3.396 eV per atom
data_HoMgGa
_chemical_formula_sum 'Ho4 Mg4 Ga4'
_space_group_name_H-M_alt 'F -4 3 m'
_space_group_IT_number 216
_space_group_name_Hall 'F -4 2 3'
_cell_length_a 6.704
_cell_length_b 6.704
_cell_length_c 6.704
_cell_angle_alpha 90.00
_cell_angle_beta 90.00
_cell_angle_gamma 90.00
loop_
_atom_site_label
_atom_site_type_symbol
_atom_site_fract_x
_atom_site_fract_y
_atom_site_fract_z
Ho1 Ho 0.000 0.000 0.000
Mg1 Mg 0.000 0.000 0.500
Ga1 Ga 0.250 0.250 0.250

(2)
# HoMgGa, optimized geometry, DFT PBE
# E ... -2.828 eV per atom
data_HoMgGa
_chemical_formula_sum 'Ho4 Mg4 Ga4'
_space_group_name_H-M_alt 'F -4 3 m'
_space_group_IT_number 216
_space_group_name_Hall 'F -4 2 3'
_cell_length_a 6.897
_cell_length_b 6.897
_cell_length_c 6.897
_cell_angle_alpha 90.00
_cell_angle_beta 90.00
_cell_angle_gamma 90.00
loop_
_atom_site_label
_atom_site_type_symbol
_atom_site_fract_x
_atom_site_fract_y
_atom_site_fract_z
Ho1 Ho 0.000 0.000 0.000
Mg1 Mg 0.250 0.250 0.750
Ga1 Ga 0.250 0.250 0.250

(3)
# HoMgGa, optimized geometry, DFT PBE
# E ... -3.543 eV per atom
data_HoMgGa
_chemical_formula_sum 'Ho3 Mg3 Ga3'
_space_group_name_H-M_alt 'P -6 2 m'
_space_group_IT_number 189
_space_group_name_Hall 'P -6 -2'
_cell_length_a 7.2385
_cell_length_b 7.2385
_cell_length_c 4.4235
_cell_angle_alpha 90.00
_cell_angle_beta 90.00
_cell_angle_gamma 120.00
loop_
_atom_site_label
_atom_site_type_symbol
_atom_site_fract_x
_atom_site_fract_y
_atom_site_fract_z
Ho1 Ho 0.0000 0.4268 0.0000
Mg1 Mg 0.0000 0.7563 0.5000
Ga1 Ga 0.0000 0.0000 0.0000
Ga2 Ga 0.3333 0.6667 0.5000

(4)
# Nd2HoMg3Ga3, optimized geometry, DFT PBE
# E ... -3.584 eV per atom
data_Nd2HoMg3Ga3
_chemical_formula_sum 'Nd4 Ho2 Mg6 Ga6'
_space_group_name_H-M_alt 'A m m 2'
_space_group_IT_number 38
_space_group_name_Hall 'A 2 -2'
_cell_length_a 4.494
_cell_length_b 12.728
_cell_length_c 7.455
_cell_angle_alpha 90.00
_cell_angle_beta 90.00
_cell_angle_gamma 90.00
loop_
_atom_site_label
_atom_site_type_symbol
_atom_site_fract_x
_atom_site_fract_y
_atom_site_fract_z
Nd1 Nd 0.000 0.212 0.000
Ho1 Ho 0.000 0.000 0.635
Mg1 Mg 0.500 0.000 0.970
Mg2 Mg 0.500 0.121 0.336
Ga1 Ga 0.000 0.000 0.221
Ga2 Ga 0.500 0.163 0.712